Entry 1:
PBE-GGA Zr2BeAl, relaxed; electronic total energy = -25.3 eV/cell; distance to the lowest polymorph of the same formula = 51 meV/atom; formation enthalpy at 0 K = -74 kJ/mol of formula units
1.0
-0.319 3.525 2.437
-3.486 1.208 -2.204
-2.244 -1.927 2.493
Be Al Zr
1 1 2
direct
0.000 0.500 0.500 Be
0.500 0.000 0.500 Al
0.000 0.000 0.000 Zr
0.500 0.500 0.000 Zr

=====

Entry 2:
PBE-GGA GdErTlCd, relaxed; electronic total energy = -23.3 eV/cell; formation enthalpy at 0 K = -136 kJ/mol of formula units
1.0
5.327 0.000 0.000
2.663 4.613 0.000
2.663 1.538 4.349
Cd Tl Gd Er
1 1 1 1
direct
0.250 0.250 0.250 Cd
0.750 0.750 0.750 Tl
0.000 0.000 0.000 Gd
0.500 0.500 0.500 Er